Entry 1:
Density functional theory data (PBE) for a relaxed structure of LiMg2Zn5Ni2.

## Properties
E_form	-0.205	eV/atom
symmetry	P4/mbm (127)
M_tot	0.000	μB/atom
volume	15.3	Å³/atom

abc: 3.957 8.798 8.798
angles: 90.00 90.00 90.00
Atoms (fractional coordinates):
Ni 0.000 0.882 0.382
Ni 0.000 0.382 0.118
Ni 0.000 0.118 0.618
Ni 0.000 0.618 0.882
Zn 0.500 0.000 0.500
Zn 0.500 0.928 0.206
Zn 0.500 0.294 0.572
Zn 0.500 0.706 0.428
Zn 0.500 0.206 0.072
Zn 0.500 0.500 0.000
Zn 0.500 0.072 0.794
Zn 0.500 0.794 0.928
Zn 0.500 0.572 0.706
Zn 0.500 0.428 0.294
Mg 0.000 0.324 0.824
Mg 0.000 0.824 0.676
Mg 0.000 0.176 0.324
Mg 0.000 0.676 0.176
Li 0.000 0.500 0.500
Li 0.000 0.000 0.000

Entry 2:
Density functional theory data (PBE) for a relaxed structure of Li2MgNp2O6.

## Properties
symmetry	R-3m (166)
M_tot	0.545	μB/atom
volume	14.6	Å³/atom
DFT total energy	-85.31	eV for the cell shown

abc: 5.852 5.852 6.370
angles: 62.66 62.66 60.00
Atoms (fractional coordinates):
Li 0.418 0.418 0.747
Li 0.582 0.582 0.253
O 0.209 0.757 0.277
O 0.243 0.243 0.723
O 0.757 0.757 0.277
O 0.243 0.791 0.723
O 0.791 0.243 0.723
O 0.757 0.209 0.277
Np 0.177 0.177 0.470
Np 0.823 0.823 0.530
Mg 0.000 0.000 0.000

Entry 3:
Density functional theory data (PBE) for a relaxed structure of Li2MgNpO4.

## Properties
symmetry	I-4m2 (119)
M_tot	0.375	μB/atom
volume	11.3	Å³/atom
DFT total energy	-58.00	eV for the cell shown

abc: 4.452 4.452 5.525
angles: 113.76 113.76 90.00
Atoms (fractional coordinates):
Li 0.250 0.750 0.500
Li 0.000 0.000 0.000
O 0.982 0.482 0.965
O 0.741 0.741 0.481
O 0.259 0.259 0.519
O 0.518 0.018 0.035
Mg 0.750 0.250 0.500
Np 0.500 0.500 0.000

Entry 4:
Density functional theory data (PBE) for a relaxed structure of LiMg2NpO6.

## Properties
symmetry	R3 (146)
M_tot	0.000	μB/atom
volume	11.8	Å³/atom
DFT total energy	-72.96	eV for the cell shown

abc: 5.329 5.328 5.714
angles: 62.22 62.21 59.99
Atoms (fractional coordinates):
Li 0.803 0.803 0.590
Np 0.323 0.323 0.031
O 0.233 0.932 0.240
O 0.400 0.711 0.765
O 0.711 0.124 0.765
O 0.932 0.596 0.240
O 0.124 0.400 0.765
O 0.596 0.233 0.240
Mg 0.527 0.527 0.419
Mg 0.013 0.013 0.961

Entry 5:
Density functional theory data (PBE) for a relaxed structure of LiMgNpOs.

## Properties
E_form	0.249	eV/atom
symmetry	F-43m (216)
M_tot	0.983	μB/atom
volume	18.1	Å³/atom

abc: 4.680 4.680 4.680
angles: 60.00 60.00 60.00
Atoms (fractional coordinates):
Os 0.000 0.000 0.000
Np 0.750 0.750 0.750
Mg 0.250 0.250 0.250
Li 0.500 0.500 0.500

Entry 6:
Density functional theory data (PBE) for a relaxed structure of Li2MgNpS4.

## Properties
symmetry	P2/m (10)
M_tot	0.375	μB/atom
volume	19.1	Å³/atom
DFT total energy	-45.58	eV for the cell shown

abc: 3.844 6.489 6.504
angles: 109.25 90.00 90.00
Atoms (fractional coordinates):
S 0.000 0.248 0.749
S 0.500 0.243 0.240
S 0.000 0.752 0.251
S 0.500 0.757 0.760
Li 0.500 0.000 0.500
Li 0.000 0.500 0.500
Mg 0.000 0.000 0.000
Np 0.500 0.500 0.000

Entry 7:
Density functional theory data (PBE) for a relaxed structure of Li4MgNp3S8.

## Properties
symmetry	R-3m (166)
M_tot	0.688	μB/atom
volume	20.0	Å³/atom
DFT total energy	-102.80	eV for the cell shown

abc: 7.753 7.599 7.752
angles: 120.69 120.00 90.00
Atoms (fractional coordinates):
S 0.246 0.748 0.001
S 0.751 0.753 0.502
S 0.249 0.247 0.498
S 0.246 0.748 0.493
S 0.754 0.252 0.999
S 0.245 0.252 0.999
S 0.754 0.252 0.507
S 0.755 0.748 0.001
Li 0.000 0.000 0.500
Li 0.500 0.000 0.000
Li 0.500 0.000 0.500
Li 0.000 0.000 0.000
Np 0.500 0.500 0.000
Np 0.000 0.500 0.500
Np 0.500 0.500 0.500
Mg 0.000 0.500 0.000

Entry 8:
Density functional theory data (PBE) for a relaxed structure of Li2MgNpSe4.

## Properties
symmetry	P2/m (10)
M_tot	0.375	μB/atom
volume	22.1	Å³/atom
DFT total energy	-41.75	eV for the cell shown

abc: 4.020 6.808 6.840
angles: 109.34 90.00 90.00
Atoms (fractional coordinates):
Li 0.500 0.000 0.500
Li 0.000 0.500 0.500
Se 0.000 0.247 0.746
Se 0.500 0.243 0.243
Se 0.000 0.753 0.254
Se 0.500 0.757 0.757
Np 0.500 0.500 0.000
Mg 0.000 0.000 0.000

Entry 9:
Density functional theory data (PBE) for a relaxed structure of Li3MgNp3Se8.

## Properties
symmetry	C2/m (12)
M_tot	0.225	μB/atom
volume	24.6	Å³/atom
DFT total energy	-91.02	eV for the cell shown

abc: 8.114 8.114 7.991
angles: 120.65 89.77 120.13
Atoms (fractional coordinates):
Np 0.000 0.500 0.500
Np 0.500 0.000 0.500
Np 0.500 0.500 0.500
Se 0.756 0.000 0.744
Se 0.247 0.493 0.240
Se 0.756 0.511 0.256
Se 0.754 0.003 0.257
Se 0.246 0.997 0.743
Se 0.753 0.507 0.760
Se 0.244 0.000 0.256
Se 0.244 0.489 0.744
Li 0.500 0.500 0.000
Li 0.000 0.500 0.000
Li 0.000 0.000 0.000
Mg 0.000 0.000 0.500

Entry 10:
Density functional theory data (PBE) for a relaxed structure of Li3MgNp3Te8.

## Properties
symmetry	C2/m (12)
M_tot	0.224	μB/atom
volume	30.4	Å³/atom
DFT total energy	-82.13	eV for the cell shown

abc: 8.672 8.652 8.626
angles: 120.12 90.21 119.93
Atoms (fractional coordinates):
Te 0.753 0.507 0.251
Te 0.753 0.001 0.749
Te 0.754 0.508 0.762
Te 0.247 0.999 0.251
Te 0.753 0.997 0.251
Te 0.247 0.003 0.749
Te 0.247 0.493 0.749
Te 0.246 0.492 0.238
Np 0.000 0.500 0.500
Np 0.500 0.000 0.500
Np 0.500 0.500 0.500
Mg 0.000 0.000 0.500
Li 0.000 0.000 0.000
Li 0.000 0.500 0.000
Li 0.500 0.500 0.000

Entry 11:
Density functional theory data (PBE) for a relaxed structure of Li6MgO4.

## Properties
symmetry	P4_2/nmc (137)
M_tot	0.000	μB/atom
volume	9.3	Å³/atom
DFT total energy	-109.31	eV for the cell shown

abc: 4.692 6.604 6.604
angles: 90.00 90.00 90.00
Atoms (fractional coordinates):
O 0.213 0.500 0.760
O 0.713 0.260 0.000
O 0.287 0.000 0.260
O 0.713 0.740 0.000
O 0.287 0.000 0.740
O 0.787 0.240 0.500
O 0.213 0.500 0.240
O 0.787 0.760 0.500
Mg 0.000 0.500 0.500
Mg 0.500 0.000 0.000
Li 0.000 0.217 0.783
Li 0.548 0.000 0.500
Li 0.500 0.283 0.717
Li 0.500 0.283 0.283
Li 0.048 0.000 0.500
Li 0.500 0.717 0.717
Li 0.452 0.500 0.000
Li 0.000 0.783 0.217
Li 0.000 0.783 0.783
Li 0.500 0.717 0.283
Li 0.952 0.500 0.000
Li 0.000 0.217 0.217

Entry 12:
Density functional theory data (PBE) for a relaxed structure of LiMgO.

## Properties
symmetry	P4/nmm (129)
M_tot	0.000	μB/atom
volume	18.7	Å³/atom
DFT total energy	-25.18	eV for the cell shown

abc: 3.949 3.949 7.203
angles: 90.00 90.00 90.00
Atoms (fractional coordinates):
Li 0.000 0.000 0.500
Li 0.500 0.500 0.500
O 0.500 0.000 0.946
O 0.000 0.500 0.054
Mg 0.000 0.000 0.000
Mg 0.500 0.500 0.000

Entry 13:
Density functional theory data (PBE) for a relaxed structure of Li2Mg2O3.

## Properties
symmetry	C2/m (12)
M_tot	0.000	μB/atom
volume	10.5	Å³/atom
DFT total energy	-37.62	eV for the cell shown

abc: 2.972 5.233 5.207
angles: 107.24 90.00 106.49
Atoms (fractional coordinates):
Li 0.173 0.345 0.348
Li 0.827 0.655 0.652
Mg 0.623 0.246 0.897
Mg 0.377 0.754 0.103
O 0.215 0.430 0.736
O 0.000 0.000 0.000
O 0.785 0.570 0.264

Entry 14:
Density functional theory data (PBE) for a relaxed structure of Li3MgO3.

## Properties
symmetry	P2_13 (198)
M_tot	0.145	μB/atom
volume	8.7	Å³/atom
DFT total energy	-138.62	eV for the cell shown

abc: 6.247 6.247 6.247
angles: 90.00 90.00 90.00
Atoms (fractional coordinates):
O 0.500 0.746 0.365
O 0.246 0.135 0.500
O 0.365 0.500 0.746
O 0.254 0.865 0.000
O 0.500 0.246 0.135
O 0.746 0.365 0.500
O 0.754 0.635 0.000
O 0.000 0.254 0.865
O 0.865 0.000 0.254
O 0.135 0.500 0.246
O 0.635 0.000 0.754
O 0.000 0.754 0.635
Li 0.186 0.186 0.186
Li 0.807 0.307 0.193
Li 0.314 0.814 0.686
Li 0.540 0.040 0.460
Li 0.460 0.540 0.040
Li 0.693 0.693 0.693
Li 0.814 0.686 0.314
Li 0.040 0.460 0.540
Li 0.193 0.807 0.307
Li 0.686 0.314 0.814
Li 0.960 0.960 0.960
Li 0.307 0.193 0.807
Mg 0.430 0.430 0.430
Mg 0.930 0.070 0.570
Mg 0.070 0.570 0.930
Mg 0.570 0.930 0.070

Entry 15:
Density functional theory data (PBE) for a relaxed structure of Li2MgO.

## Properties
symmetry	Fm-3m (225)
M_tot	0.000	μB/atom
volume	13.9	Å³/atom
DFT total energy	-11.59	eV for the cell shown

abc: 4.289 4.289 4.289
angles: 60.00 60.00 60.00
Atoms (fractional coordinates):
O 0.000 0.000 0.000
Li 0.250 0.250 0.250
Li 0.750 0.750 0.750
Mg 0.500 0.500 0.500

Entry 16:
Density functional theory data (PBE) for a relaxed structure of LiMg4O5.

## Properties
symmetry	C2/m (12)
M_tot	0.065	μB/atom
volume	9.6	Å³/atom
DFT total energy	-56.83	eV for the cell shown

abc: 3.000 5.207 6.704
angles: 75.24 77.07 73.26
Atoms (fractional coordinates):
O 0.797 0.099 0.306
O 0.203 0.901 0.694
O 0.395 0.315 0.896
O 0.000 0.500 0.500
O 0.605 0.685 0.104
Mg 0.793 0.611 0.803
Mg 0.207 0.389 0.197
Mg 0.404 0.801 0.391
Mg 0.596 0.199 0.609
Li 0.000 0.000 0.000

Entry 17:
Density functional theory data (PBE) for a relaxed structure of LiMgO3.

## Properties
symmetry	Pm-3m (221)
M_tot	0.600	μB/atom
volume	11.7	Å³/atom
DFT total energy	-22.79	eV for the cell shown

abc: 3.883 3.883 3.883
angles: 90.00 90.00 90.00
Atoms (fractional coordinates):
Mg 0.000 0.000 0.000
Li 0.500 0.500 0.500
O 0.000 0.000 0.500
O 0.500 0.000 0.000
O 0.000 0.500 0.000

Entry 18:
Density functional theory data (PBE) for a relaxed structure of Li2MgO.

## Properties
symmetry	Fd-3m (227)
M_tot	0.000	μB/atom
volume	18.0	Å³/atom
DFT total energy	-28.57	eV for the cell shown

abc: 5.876 5.876 5.881
angles: 60.02 60.02 90.00
Atoms (fractional coordinates):
Mg 0.750 0.250 0.500
Mg 0.000 0.000 0.000
Li 0.375 0.125 0.250
Li 0.375 0.625 0.750
Li 0.375 0.625 0.250
Li 0.875 0.625 0.750
O 0.250 0.750 0.500
O 0.500 0.500 0.000

Entry 19:
Density functional theory data (PBE) for a relaxed structure of LiMg3O4.

## Properties
symmetry	Pm-3m (221)
M_tot	0.127	μB/atom
volume	9.5	Å³/atom
DFT total energy	-44.93	eV for the cell shown

abc: 4.229 4.229 4.229
angles: 90.00 90.00 90.00
Atoms (fractional coordinates):
O 0.500 0.000 0.000
O 0.000 0.000 0.500
O 0.500 0.500 0.500
O 0.000 0.500 0.000
Mg 0.500 0.000 0.500
Mg 0.500 0.500 0.000
Mg 0.000 0.500 0.500
Li 0.000 0.000 0.000

Entry 20:
Density functional theory data (PBE) for a relaxed structure of LiMgO.

## Properties
symmetry	Cc (9)
M_tot	0.000	μB/atom
volume	12.6	Å³/atom
DFT total energy	-52.88	eV for the cell shown

abc: 5.947 5.947 7.796
angles: 137.12 118.57 54.02
Atoms (fractional coordinates):
Li 0.335 0.719 0.659
Li 0.801 0.787 0.736
Li 0.190 0.074 0.159
Li 0.199 0.685 0.236
O 0.489 0.760 0.490
O 0.980 0.751 0.990
O 0.089 0.476 0.508
O 0.282 0.170 0.008
Mg 0.293 0.321 0.724
Mg 0.757 0.750 0.383
Mg 0.882 0.376 0.883
Mg 0.653 0.181 0.224

Entry 21:
Density functional theory data (PBE) for a relaxed structure of Li8MgO6.

## Properties
symmetry	R-3 (148)
M_tot	0.136	μB/atom
volume	8.9	Å³/atom
DFT total energy	-72.45	eV for the cell shown

abc: 5.531 5.531 5.952
angles: 62.31 62.31 60.00
Atoms (fractional coordinates):
Mg 0.000 0.000 0.000
O 0.397 0.084 0.759
O 0.084 0.759 0.759
O 0.603 0.916 0.241
O 0.916 0.241 0.241
O 0.241 0.603 0.241
O 0.759 0.397 0.759
Li 0.109 0.473 0.650
Li 0.891 0.527 0.350
Li 0.232 0.891 0.350
Li 0.473 0.768 0.650
Li 0.336 0.336 0.991
Li 0.768 0.109 0.650
Li 0.527 0.232 0.350
Li 0.664 0.664 0.009